Computed, not measured: a geometry-optimized K5Al structure at the PBEsol level of DFT.

abc: 4.3314 4.3314 17.7519
angles: 90.00 90.00 90.00
Positions (direct):
K 0.5000 0.5000 0.3003
K 0.0000 0.0000 0.8910
K 0.0000 0.0000 0.5000
K 0.0000 0.0000 0.1090
K 0.5000 0.5000 0.6997
Al 0.5000 0.5000 0.0000

Computed properties:
The value obtained for the distance to the lowest polymorph of the same formula is 0.000 eV/atom. Its energy of formation from the pure elements is 0.205 eV per atom.

---

Computed, not measured: a geometry-optimized MgTlIn2 structure at the PBEsol level of DFT.

abc: 3.3135 3.3135 10.7689
angles: 81.15 81.15 60.00
Positions (direct):
Mg 0.5000 0.5000 0.5000
Tl 0.0000 0.0000 0.0000
In 0.7543 0.7543 0.7371
In 0.2457 0.2457 0.2629

Computed properties:
Its energy of formation from the pure elements is -0.025 eV per atom.

---

Computed, not measured: a geometry-optimized CsTe2SI structure at the PBEsol level of DFT.

abc: 5.3976 5.3976 5.7035
angles: 90.00 90.00 90.00
Positions (direct):
Cs 0.5000 0.5000 0.5000
I 0.0000 0.0000 0.5000
Te 0.0000 0.5000 0.0000
Te 0.5000 0.0000 0.0000
S 0.0000 0.0000 0.0000

Computed properties:
Its formation energy without anion corrections is -1.067 eV/f.u.

---

Computed, not measured: a geometry-optimized MoAs2Pd structure at the PBEsol level of DFT.

abc: 4.4271 4.4271 4.4271
angles: 60.00 60.00 60.00
Positions (direct):
Mo 0.0000 0.0000 0.0000
As 0.7500 0.7500 0.7500
As 0.2500 0.2500 0.2500
Pd 0.5000 0.5000 0.5000

Computed properties:
Its energy of formation from the pure elements is 0.020 eV per atom.

---

Computed, not measured: a geometry-optimized ZnPtRh2 structure at the PBEsol level of DFT.

abc: 2.7002 4.6284 4.6284
angles: 107.97 90.00 90.00
Positions (direct):
Pt 0.5000 0.5000 0.5000
Zn 0.5000 0.0000 0.0000
Rh 0.0000 0.0000 0.5000
Rh 0.0000 0.5000 0.0000

Computed properties:
Its energy of formation from the pure elements is -0.192 eV per atom.

---

Computed, not measured: a geometry-optimized TmSnPt structure at the PBEsol level of DFT.

abc: 3.9222 7.3673 7.3673
angles: 120.00 90.00 90.00
Positions (direct):
Pt 0.0000 0.0000 0.0000
Pt 0.5000 0.6667 0.3333
Pt 0.5000 0.3333 0.6667
Tm 0.0000 0.0000 0.4049
Tm 0.0000 0.4049 0.0000
Tm 0.0000 0.5951 0.5951
Sn 0.5000 0.7393 0.0000
Sn 0.5000 0.2607 0.2607
Sn 0.5000 0.0000 0.7393

Computed properties:
Its energy of formation from the pure elements is -1.122 eV per atom.

---

Computed, not measured: a geometry-optimized CdTcP2 structure at the PBEsol level of DFT.

abc: 3.1505 4.0634 5.1316
angles: 110.84 90.00 90.00
Positions (direct):
P 0.0000 0.0000 0.0000
P 0.5000 0.5000 0.5000
Tc 0.5000 0.5000 0.0000
Cd 0.0000 0.0000 0.5000

Computed properties:
Its energy of formation from the pure elements is 0.340 eV per atom.

---

Computed, not measured: a geometry-optimized Ta3Bi4O14 structure at the PBEsol level of DFT.

abc: 7.5809 7.5809 11.9220
angles: 79.87 79.87 59.98
Positions (direct):
Bi 0.4937 0.2698 0.0059
Bi 0.0259 0.7444 0.9673
Bi 0.7444 0.0259 0.4673
Bi 0.7302 0.5063 0.4941
Bi 0.5063 0.7302 0.9941
Bi 0.2556 0.9741 0.5327
Bi 0.9741 0.2556 0.0327
Bi 0.2698 0.4937 0.5059
O 0.1300 0.8601 0.4172
O 0.4334 0.7898 0.2159
O 0.8700 0.1399 0.5828
O 0.4310 0.1565 0.2167
O 0.5690 0.8435 0.7833
O 0.7898 0.4334 0.7159
O 0.4141 0.6319 0.5800
O 0.2102 0.5666 0.2841
O 0.6319 0.4141 0.0800
O 0.4472 0.1365 0.5868
O 0.1399 0.8700 0.0828
O 0.3681 0.5859 0.9200
O 0.8601 0.1300 0.9172
O 0.5859 0.3681 0.4200
O 0.2768 0.1406 0.9209
O 0.5666 0.2102 0.7841
O 0.0645 0.1537 0.2299
O 0.8463 0.9355 0.2701
O 0.1537 0.0645 0.7299
O 0.5528 0.8635 0.4132
O 0.1365 0.4472 0.0868
O 0.9355 0.8463 0.7701
O 0.1565 0.4310 0.7167
O 0.8435 0.5690 0.2833
O 0.1406 0.2768 0.4209
O 0.7232 0.8594 0.0791
O 0.8635 0.5528 0.9132
O 0.8594 0.7232 0.5791
Ta 0.1485 0.8515 0.2500
Ta 0.6398 0.8628 0.2410
Ta 0.8515 0.1485 0.7500
Ta 0.1372 0.3602 0.2590
Ta 0.3602 0.1372 0.7590
Ta 0.8628 0.6398 0.7410

Computed properties:
Its formation energy without anion corrections is -42.808 eV/f.u.

---

| no. | total moment (μB per cell) | E (eV per formula unit) |
| --- | --- | --- |
| 1 | 0.002 | -8.53 |
| 2 | 0.000 | -10.41 |
| 3 | 0.000 | -15.21 |
| 4 | 0.522 | -27.86 |
| 5 | 0.000 | -25.59 |
| 6 | 0.000 | -19.49 |
| 7 | 0.000 | -22.69 |
| 8 | 0.000 | -171.09 |